Record 1
Density functional theory data (SCAN) for a PBEsol-optimized structure of CoNiAs2S2.

Formation energy (no corrections) = -0.441 eV per atom
Total energy = -1.1730 Ry/atom
SG = P2_1, No. 4

Lattice parameters (Å, degrees): 5.5508 5.5570 5.5541 90.00 90.30 90.00
Fractional positions:
Co 0.0072 0.0000 0.2588
Co 0.9928 0.5000 0.7412
Ni 0.4907 0.0170 0.7583
Ni 0.5093 0.5170 0.2417
As 0.1181 0.3828 0.1252
As 0.3733 0.6291 0.6294
As 0.6267 0.1291 0.3706
As 0.8819 0.8828 0.8748
S 0.1136 0.1299 0.6282
S 0.3751 0.8917 0.1339
S 0.6249 0.3917 0.8661
S 0.8864 0.6299 0.3718

***

Record 2
Density functional theory data (SCAN) for a PBEsol-optimized structure of CoNiAs2Se.

Energy above the most stable polymorph in this dataset = 0.22 eV per formula unit
Formation energy (no corrections) = 0.714 eV per atom
Total energy = -1.3284 Ry/atom
SG = P4/mmm, No. 123

Lattice parameters (Å, degrees): 4.3198 4.3198 4.8500 90.00 90.00 90.00
Fractional positions:
Co 0.0000 0.0000 0.0000
Ni 0.5000 0.5000 0.5000
As 0.0000 0.5000 0.0000
As 0.5000 0.0000 0.0000
Se 0.0000 0.0000 0.5000